1.
CePr2Ag2Pb2: relaxed, PBE.

POSCAR file:
```
CePr2Ag2Pb2
1.0
2.5113 1.4499 9.0075
-2.5113 1.4499 9.0075
0.0000 -2.8998 9.0075
Ce Pr Ag Pb
1 2 2 2
direct
0.0000 0.0000 0.0000
0.1352 0.1352 0.1352
0.8648 0.8648 0.8648
0.4354 0.4354 0.4354
0.5646 0.5646 0.5646
0.2686 0.2686 0.2686
0.7314 0.7314 0.7314
```

Calculated values
The crystal system is trigonal. The value obtained for the uncorrected energy is -30.30 eV per formula unit. As for the calculated volume: 197 Å³/cell. The calculation puts the density of states at the Fermi level at 10.70 states/eV/cell.

***

2.
CeAgPtPb: relaxed, PBE.

POSCAR file:
```
CeAgPtPb
1.0
0.0000 3.5555 3.5555
3.5555 0.0000 3.5555
3.5555 3.5555 0.0000
Ce Ag Pt Pb
1 1 1 1
direct
0.0000 0.0000 0.0000
0.7500 0.7500 0.7500
0.2500 0.2500 0.2500
0.5000 0.5000 0.5000
```

Calculated values
The crystal system is cubic. The value obtained for the uncorrected energy is -20.39 eV per formula unit. As for the calculated volume: 90 Å³/cell. The calculation puts the density of states at the Fermi level at 5.03 states/eV/cell.

***

3.
CePuAgPb: relaxed, PBE.

POSCAR file:
```
CePuAgPb
1.0
0.0000 3.8102 3.8102
3.8102 0.0000 3.8102
3.8102 3.8102 0.0000
Ce Pu Ag Pb
1 1 1 1
direct
0.0000 0.0000 0.0000
0.5000 0.5000 0.5000
0.7500 0.7500 0.7500
0.2500 0.2500 0.2500
```

Calculated values
The crystal system is cubic. The value obtained for the uncorrected energy is -27.36 eV per formula unit. Its distance to the lowest polymorph of the same formula is 4.0 kJ per mole of atoms. As for the calculated volume: 111 Å³/cell. The calculation puts the density of states at the Fermi level at 14.45 states/eV/cell.

***

4.
CePu2Ag2Pb2: relaxed, PBE.

POSCAR file:
```
CePu2Ag2Pb2
1.0
2.4782 1.4308 8.5846
-2.4782 1.4308 8.5846
0.0000 -2.8615 8.5846
Ce Pu Ag Pb
1 2 2 2
direct
0.0000 0.0000 0.0000
0.1425 0.1425 0.1425
0.8575 0.8575 0.8575
0.4371 0.4371 0.4371
0.5629 0.5629 0.5629
0.2690 0.2690 0.2690
0.7310 0.7310 0.7310
```

Calculated values
The crystal system is trigonal. The value obtained for the uncorrected energy is -48.44 eV per formula unit. As for the calculated volume: 183 Å³/cell. The calculation puts the density of states at the Fermi level at 20.46 states/eV/cell.

***

Ordered total moment results: 1.34 0.63 7.21 12.03; unit Bohr magnetons per cell.